A plane-wave DFT calculation with PBE was carried out for a relaxed KIn2PbAu crystal.

abc: 5.9508 5.5685 5.9508
angles: 90.00 90.00 90.00
Positions (direct):
1 In 0.5000 0.0000 0.0000
2 In 0.0000 0.0000 0.5000
3 Pb 0.0000 0.0000 0.0000
4 K 0.5000 0.5000 0.5000
5 Au 0.0000 0.5000 0.0000

Summary:
Space group: No. 123
Energy relative to the elements: 0.95 eV/f.u.
Total magnetization: 0.0 μB per cell
VASP energy: -2.5215 eV per atom